# 1
# GaFe (PBE, relaxed)
# **Formation enthalpy at 0 K**: -0.07 eV/atom
# **Spin magnetization**: 15.71 μB/cell
data_GaFe
_chemical_formula_sum 'Ga8 Fe8'
_cell_length_a 7.3710
_cell_length_b 7.3710
_cell_length_c 4.1433
_cell_angle_alpha 90.00
_cell_angle_beta 90.00
_cell_angle_gamma 90.00
_symmetry_space_group_name_H-M 'I 4/m m m'
_symmetry_Int_Tables_number 139
_symmetry_space_group_name_Hall '-I 4 2'
loop_
_atom_site_label
_atom_site_type_symbol
_atom_site_fract_x
_atom_site_fract_y
_atom_site_fract_z
Ga1 Ga 0.0000 0.2732 0.0000
Fe1 Fe 0.1684 0.1684 0.5000

---

# 2
# GaFe (PBE, relaxed)
# **Formation enthalpy at 0 K**: 0.02 eV/atom
# **Spin magnetization**: 6.67 μB/cell
data_GaFe
_chemical_formula_sum 'Ga6 Fe6'
_cell_length_a 2.5978
_cell_length_b 11.0012
_cell_length_c 5.9363
_cell_angle_alpha 90.00
_cell_angle_beta 90.00
_cell_angle_gamma 90.00
_symmetry_space_group_name_H-M 'A m m 2'
_symmetry_Int_Tables_number 38
_symmetry_space_group_name_Hall 'A 2 -2'
loop_
_atom_site_label
_atom_site_type_symbol
_atom_site_fract_x
_atom_site_fract_y
_atom_site_fract_z
Ga1 Ga 0.0000 0.0000 0.0000
Ga2 Ga 0.5000 0.2370 0.3407
Fe1 Fe 0.0000 0.1106 0.6201
Fe2 Fe 0.5000 0.0000 0.3569

---

# 3
# GaFe (PBE, relaxed)
# **Formation enthalpy at 0 K**: 0.99 eV/atom
# **Spin magnetization**: 9.33 μB/cell
data_GaFe
_chemical_formula_sum 'Ga4 Fe4'
_cell_length_a 5.5387
_cell_length_b 5.5387
_cell_length_c 5.5387
_cell_angle_alpha 90.00
_cell_angle_beta 90.00
_cell_angle_gamma 90.00
_symmetry_space_group_name_H-M 'F -4 3 m'
_symmetry_Int_Tables_number 216
_symmetry_space_group_name_Hall 'F -4 2 3'
loop_
_atom_site_label
_atom_site_type_symbol
_atom_site_fract_x
_atom_site_fract_y
_atom_site_fract_z
Ga1 Ga 0.0000 0.0000 0.0000
Fe1 Fe 0.2500 0.2500 0.2500

---

# 4
# GaFe6 (PBE, relaxed)
# **Formation enthalpy at 0 K**: -0.06 eV/atom
# **Spin magnetization**: 41.98 μB/cell
data_GaFe6
_chemical_formula_sum 'Ga3 Fe18'
_cell_length_a 4.0711
_cell_length_b 4.0711
_cell_length_c 17.4132
_cell_angle_alpha 90.00
_cell_angle_beta 90.00
_cell_angle_gamma 120.00
_symmetry_space_group_name_H-M 'R -3 m'
_symmetry_Int_Tables_number 166
_symmetry_space_group_name_Hall '-R 3 2"'
loop_
_atom_site_label
_atom_site_type_symbol
_atom_site_fract_x
_atom_site_fract_y
_atom_site_fract_z
Ga1 Ga 0.0000 0.0000 0.0000
Fe1 Fe 0.0000 0.0000 0.1451
Fe2 Fe 0.0000 0.0000 0.2826
Fe3 Fe 0.0000 0.0000 0.4279